## Ba4TbMo3O12 (PBE with a Hubbard U)

Data for crystalline Ba4TbMo3O12 at its relaxed geometry.

Unit cell a=7.2911 b=7.2911 c=7.2911 alpha=109.47 beta=109.47 gamma=109.47
Atoms (fractional coordinates):
1 Ba 0.5000 0.5000 0.5000
2 Ba 0.0000 0.0000 0.5000
3 Ba 0.5000 0.0000 0.0000
4 Ba 0.0000 0.5000 0.0000
5 Tb 0.0000 0.0000 0.0000
6 Mo 0.5000 0.0000 0.5000
7 Mo 0.5000 0.5000 0.0000
8 Mo 0.0000 0.5000 0.5000
9 O 0.2500 0.5000 0.7500
10 O 0.7352 0.0000 0.7352
11 O 0.2648 0.0000 0.2648
12 O 0.7500 0.5000 0.2500
13 O 0.7352 0.7352 0.0000
14 O 0.2648 0.2648 0.0000
15 O 0.7500 0.2500 0.5000
16 O 0.2500 0.7500 0.5000
17 O 0.5000 0.2500 0.7500
18 O 0.0000 0.7352 0.7352
19 O 0.5000 0.7500 0.2500
20 O 0.0000 0.2648 0.2648

size of the total moment: 5.0 μB per cell
raw total energy: -141.6 eV per cell